1.
Material: Mg5HIr4
Method: DFT, PBE-GGA
State: optimized geometry

## Properties
space-group type: P-1
relative energy among the computed polymorphs: 9 meV/atom

Cell lengths 4.5030, 4.4670, 9.5540 Å; angles 103.54, 75.67, 60.29 degrees
Sites, in units of the cell vectors:
Ir: 0.8027 0.1296 0.4403
Ir: 0.2034 0.0465 0.6761
Ir: 0.1027 0.8268 0.1379
Ir: 0.7021 0.9098 0.9020
Mg: 0.9111 0.3560 0.0039
Mg: 0.9943 0.6002 0.5742
Mg: 0.5470 0.7180 0.3621
Mg: 0.3584 0.2385 0.2160
Mg: 0.4527 0.4783 0.7891
H: 0.4528 0.9789 0.7890

2.
Material: Ca2Ga4Ni3Ir
Method: DFT, PBE-GGA
State: optimized geometry

## Properties
space-group type: P-4m2
energy: -47.2 eV/f.u.

Cell lengths 4.1426, 4.1426, 10.0704 Å; angles 90.00, 90.00, 90.00 degrees
Sites, in units of the cell vectors:
Ga: 0.0000 0.5000 0.3663
Ga: 0.5000 0.5000 0.0000
Ga: 0.0000 0.0000 0.0000
Ga: 0.5000 0.0000 0.6337
Ni: 0.0000 0.0000 0.5000
Ni: 0.0000 0.5000 0.1278
Ni: 0.5000 0.0000 0.8722
Ir: 0.5000 0.5000 0.5000
Ca: 0.0000 0.5000 0.7464
Ca: 0.5000 0.0000 0.2536

3.
Material: KTiAuCl2
Method: DFT, PBE-GGA
State: optimized geometry

## Properties
space-group type: P4/mmm
energy: -14.0 eV/f.u.

Cell lengths 5.3944, 5.7359, 5.3944 Å; angles 90.00, 90.00, 90.00 degrees
Sites, in units of the cell vectors:
Au: 0.0000 0.0000 0.0000
Ti: 0.5000 0.5000 0.5000
Cl: 0.0000 0.0000 0.5000
Cl: 0.5000 0.0000 0.0000
K: 0.0000 0.5000 0.0000

4.
Material: RbPrIn2Cl6
Method: DFT, PBE-GGA
State: optimized geometry

## Properties
space-group type: P1
energy: -38.7 eV/f.u.

Cell lengths 7.9740, 7.9771, 8.2181 Å; angles 60.92, 60.92, 59.92 degrees
Sites, in units of the cell vectors:
Rb: 0.8097 0.8101 0.5702
Cl: 0.5737 0.2055 0.2416
Cl: 0.4091 0.6773 0.7681
Cl: 0.9790 0.5741 0.2418
Cl: 0.2052 0.9792 0.2424
Cl: 0.6778 0.1444 0.7689
Cl: 0.1451 0.4090 0.7686
In: 0.5233 0.5233 0.4303
In: 0.0188 0.0189 0.9435
Pr: 0.3200 0.3199 0.0399

Density of states at the Fermi level readings, ordered: 3.82, 6.07, 4.64, 0.00 states/eV/f.u.